--- 1 ---
# Nd3Cd2In3 | the Alexandria database | PBE-GGA | relaxed
# calculated volume = 27.039 A^3/atom
# DOS at the Fermi energy = 4.68 states/eV per cell
data_Nd3Cd2In3
_cell_length_a 9.730
_cell_length_b 9.730
_cell_length_c 5.044
_cell_angle_alpha 104.95
_cell_angle_beta 104.95
_cell_angle_gamma 28.03
_space_group_name_H-M_alt 'P 1'
_space_group_IT_number 1
_space_group_name_Hall 'P 1'
loop_
_atom_site_label
_atom_site_fract_x
_atom_site_fract_y
_atom_site_fract_z
_atom_site_occupancy
Nd1 0.000 0.000 0.000 1
Nd2 0.137 0.137 0.638 1
Nd3 0.863 0.863 0.362 1
Cd1 0.245 0.245 0.245 1
Cd2 0.755 0.755 0.755 1
In1 0.366 0.366 0.866 1
In2 0.500 0.500 0.500 1
In3 0.634 0.634 0.134 1

--- 2 ---
# Nd3Cd2In3 | the Alexandria database | PBE-GGA | relaxed
# calculated volume = 27.948 A^3/atom
# DOS at the Fermi energy = 11.50 states/eV per cell
data_Nd3Cd2In3
_cell_length_a 6.288
_cell_length_b 6.288
_cell_length_c 15.903
_cell_angle_alpha 90.00
_cell_angle_beta 90.00
_cell_angle_gamma 134.67
_space_group_name_H-M_alt 'P 1'
_space_group_IT_number 1
_space_group_name_Hall 'P 1'
loop_
_atom_site_label
_atom_site_fract_x
_atom_site_fract_y
_atom_site_fract_z
_atom_site_occupancy
Nd1 0.083 0.917 0.611 1
Nd2 0.083 0.917 0.889 1
Nd3 0.349 0.651 0.750 1
Nd4 0.651 0.349 0.250 1
Nd5 0.917 0.083 0.111 1
Nd6 0.917 0.083 0.389 1
Cd1 0.213 0.787 0.100 1
Cd2 0.213 0.787 0.400 1
Cd3 0.787 0.213 0.600 1
Cd4 0.787 0.213 0.900 1
In1 0.364 0.636 0.250 1
In2 0.390 0.610 0.543 1
In3 0.390 0.610 0.957 1
In4 0.610 0.390 0.043 1
In5 0.610 0.390 0.457 1
In6 0.636 0.364 0.750 1

Which is most stable, and by how much? 2, by 39 meV/atom.

--- 1 ---
# Nd5Cd2In | the Alexandria database | PBE-GGA | relaxed
# calculated volume = 29.940 A^3/atom
# DOS at the Fermi energy = 9.70 states/eV per cell
data_Nd5Cd2In
_cell_length_a 6.781
_cell_length_b 6.781
_cell_length_c 6.781
_cell_angle_alpha 108.02
_cell_angle_beta 108.02
_cell_angle_gamma 112.41
_space_group_name_H-M_alt 'P 1'
_space_group_IT_number 1
_space_group_name_Hall 'P 1'
loop_
_atom_site_label
_atom_site_fract_x
_atom_site_fract_y
_atom_site_fract_z
_atom_site_occupancy
Nd1 0.000 0.000 0.000 1
Nd2 0.001 0.001 0.500 1
Nd3 0.001 0.500 0.000 1
Nd4 0.500 0.001 0.000 1
Nd5 0.500 0.500 0.500 1
Cd1 0.000 0.500 0.500 1
Cd2 0.500 0.000 0.500 1
In1 0.501 0.501 0.000 1

--- 2 ---
# Nd5Cd2In | the Alexandria database | PBE-GGA | relaxed
# calculated volume = 31.441 A^3/atom
# DOS at the Fermi energy = 18.81 states/eV per cell
data_Nd5Cd2In
_cell_length_a 9.645
_cell_length_b 9.645
_cell_length_c 9.645
_cell_angle_alpha 130.78
_cell_angle_beta 130.78
_cell_angle_gamma 72.16
_space_group_name_H-M_alt 'P 1'
_space_group_IT_number 1
_space_group_name_Hall 'P 1'
loop_
_atom_site_label
_atom_site_fract_x
_atom_site_fract_y
_atom_site_fract_z
_atom_site_occupancy
Nd1 0.000 0.000 0.000 1
Nd2 0.007 0.507 0.826 1
Nd3 0.182 0.007 0.500 1
Nd4 0.318 0.818 0.826 1
Nd5 0.493 0.318 0.500 1
Nd6 0.500 0.500 0.000 1
Nd7 0.507 0.682 0.500 1
Nd8 0.682 0.182 0.174 1
Nd9 0.818 0.993 0.500 1
Nd10 0.993 0.493 0.174 1
Cd1 0.128 0.372 0.500 1
Cd2 0.372 0.872 0.245 1
Cd3 0.628 0.128 0.755 1
Cd4 0.872 0.628 0.500 1
In1 0.250 0.250 0.000 1
In2 0.750 0.750 0.000 1

Which is most stable, and by how much? 1, by 6 meV/atom.

--- 1 ---
# Nd2Cd3In2 | the Alexandria database | PBE-GGA | relaxed
# calculated volume = 26.799 A^3/atom
# DOS at the Fermi energy = 3.88 states/eV per cell
data_Nd2Cd3In2
_cell_length_a 11.463
_cell_length_b 11.463
_cell_length_c 3.530
_cell_angle_alpha 90.00
_cell_angle_beta 90.00
_cell_angle_gamma 156.14
_space_group_name_H-M_alt 'P 1'
_space_group_IT_number 1
_space_group_name_Hall 'P 1'
loop_
_atom_site_label
_atom_site_fract_x
_atom_site_fract_y
_atom_site_fract_z
_atom_site_occupancy
Nd1 0.151 0.849 0.000 1
Nd2 0.849 0.151 0.000 1
Cd1 0.000 0.000 0.000 1
Cd2 0.432 0.568 0.500 1
Cd3 0.568 0.432 0.500 1
In1 0.287 0.713 0.500 1
In2 0.713 0.287 0.500 1

--- 2 ---
# Nd2Cd3In2 | the Alexandria database | PBE-GGA | relaxed
# calculated volume = 26.355 A^3/atom
# DOS at the Fermi energy = 4.31 states/eV per cell
data_Nd2Cd3In2
_cell_length_a 6.197
_cell_length_b 6.197
_cell_length_c 7.220
_cell_angle_alpha 109.81
_cell_angle_beta 109.81
_cell_angle_gamma 45.68
_space_group_name_H-M_alt 'P 1'
_space_group_IT_number 1
_space_group_name_Hall 'P 1'
loop_
_atom_site_label
_atom_site_fract_x
_atom_site_fract_y
_atom_site_fract_z
_atom_site_occupancy
Nd1 0.151 0.151 0.264 1
Nd2 0.849 0.849 0.736 1
Cd1 0.402 0.402 0.071 1
Cd2 0.500 0.500 0.500 1
Cd3 0.598 0.598 0.929 1
In1 0.150 0.150 0.735 1
In2 0.850 0.850 0.265 1

Which is most stable, and by how much? 2, by 84 meV/atom.

--- 1 ---
# Nd5CdIn2 | the Alexandria database | PBE-GGA | relaxed
# calculated volume = 30.220 A^3/atom
# DOS at the Fermi energy = 11.60 states/eV per cell
data_Nd5CdIn2
_cell_length_a 8.600
_cell_length_b 8.600
_cell_length_c 8.600
_cell_angle_alpha 141.78
_cell_angle_beta 141.78
_cell_angle_gamma 55.17
_space_group_name_H-M_alt 'P 1'
_space_group_IT_number 1
_space_group_name_Hall 'P 1'
loop_
_atom_site_label
_atom_site_fract_x
_atom_site_fract_y
_atom_site_fract_z
_atom_site_occupancy
Nd1 0.000 0.000 0.000 1
Nd2 0.129 0.629 0.500 1
Nd3 0.371 0.871 0.500 1
Nd4 0.629 0.129 0.500 1
Nd5 0.871 0.371 0.500 1
Cd1 0.500 0.500 0.000 1
In1 0.247 0.247 0.000 1
In2 0.753 0.753 0.000 1

--- 2 ---
# Nd5CdIn2 | the Alexandria database | PBE-GGA | relaxed
# calculated volume = 29.828 A^3/atom
# DOS at the Fermi energy = 9.16 states/eV per cell
data_Nd5CdIn2
_cell_length_a 6.874
_cell_length_b 6.874
_cell_length_c 6.874
_cell_angle_alpha 117.12
_cell_angle_beta 117.12
_cell_angle_gamma 95.06
_space_group_name_H-M_alt 'P 1'
_space_group_IT_number 1
_space_group_name_Hall 'P 1'
loop_
_atom_site_label
_atom_site_fract_x
_atom_site_fract_y
_atom_site_fract_z
_atom_site_occupancy
Nd1 0.000 0.000 0.000 1
Nd2 0.000 0.000 0.500 1
Nd3 0.000 0.500 0.000 1
Nd4 0.500 0.000 0.000 1
Nd5 0.500 0.500 0.500 1
Cd1 0.500 0.500 0.000 1
In1 0.000 0.500 0.500 1
In2 0.500 0.000 0.500 1

Which is most stable, and by how much? 2, by 49 meV/atom.

--- 1 ---
# Nd3CdIn | the Alexandria database | PBE-GGA | relaxed
# calculated volume = 33.064 A^3/atom
# DOS at the Fermi energy = 10.12 states/eV per cell
data_Nd3CdIn
_cell_length_a 5.032
_cell_length_b 7.052
_cell_length_c 9.317
_cell_angle_alpha 90.00
_cell_angle_beta 90.00
_cell_angle_gamma 90.00
_space_group_name_H-M_alt 'P 1'
_space_group_IT_number 1
_space_group_name_Hall 'P 1'
loop_
_atom_site_label
_atom_site_fract_x
_atom_site_fract_y
_atom_site_fract_z
_atom_site_occupancy
Nd1 0.250 0.007 0.207 1
Nd2 0.250 0.250 0.566 1
Nd3 0.250 0.493 0.207 1
Nd4 0.750 0.507 0.793 1
Nd5 0.750 0.750 0.434 1
Nd6 0.750 0.993 0.793 1
Cd1 0.250 0.250 0.912 1
Cd2 0.750 0.750 0.088 1
In1 0.250 0.750 0.643 1
In2 0.750 0.250 0.357 1

--- 2 ---
# Nd3CdIn | the Alexandria database | PBE-GGA | relaxed
# calculated volume = 30.430 A^3/atom
# DOS at the Fermi energy = 11.84 states/eV per cell
data_Nd3CdIn
_cell_length_a 10.575
_cell_length_b 10.575
_cell_length_c 5.457
_cell_angle_alpha 90.00
_cell_angle_beta 90.00
_cell_angle_gamma 150.09
_space_group_name_H-M_alt 'P 1'
_space_group_IT_number 1
_space_group_name_Hall 'P 1'
loop_
_atom_site_label
_atom_site_fract_x
_atom_site_fract_y
_atom_site_fract_z
_atom_site_occupancy
Nd1 0.060 0.940 0.750 1
Nd2 0.249 0.751 0.750 1
Nd3 0.439 0.561 0.750 1
Nd4 0.561 0.439 0.250 1
Nd5 0.751 0.249 0.250 1
Nd6 0.940 0.060 0.250 1
Cd1 0.347 0.653 0.250 1
Cd2 0.653 0.347 0.750 1
In1 0.154 0.846 0.250 1
In2 0.846 0.154 0.750 1

Which is most stable, and by how much? 2, by 140 meV/atom.

--- 1 ---
# NdCdInPb | the Alexandria database | PBE-GGA | relaxed
# calculated volume = 28.552 A^3/atom
# DOS at the Fermi energy = 3.86 states/eV per cell
data_NdCdInPb
_cell_length_a 5.446
_cell_length_b 5.446
_cell_length_c 5.446
_cell_angle_alpha 60.00
_cell_angle_beta 60.00
_cell_angle_gamma 60.00
_space_group_name_H-M_alt 'P 1'
_space_group_IT_number 1
_space_group_name_Hall 'P 1'
loop_
_atom_site_label
_atom_site_fract_x
_atom_site_fract_y
_atom_site_fract_z
_atom_site_occupancy
Nd1 0.000 0.000 0.000 1
Cd1 0.250 0.250 0.250 1
In1 0.750 0.750 0.750 1
Pb1 0.500 0.500 0.500 1

--- 2 ---
# NdCdInPb | the Alexandria database | PBE-GGA | relaxed
# calculated volume = 26.973 A^3/atom
# DOS at the Fermi energy = 1.84 states/eV per cell
data_NdCdInPb
_cell_length_a 4.647
_cell_length_b 4.754
_cell_length_c 4.884
_cell_angle_alpha 90.00
_cell_angle_beta 90.00
_cell_angle_gamma 90.00
_space_group_name_H-M_alt 'P 1'
_space_group_IT_number 1
_space_group_name_Hall 'P 1'
loop_
_atom_site_label
_atom_site_fract_x
_atom_site_fract_y
_atom_site_fract_z
_atom_site_occupancy
Nd1 0.000 0.000 0.000 1
Cd1 0.000 0.500 0.500 1
In1 0.500 0.000 0.500 1
Pb1 0.500 0.500 0.000 1

Which is most stable, and by how much? 2, by 227 meV/atom.